{"formula": "LiReB2", "functional": "GGA-PBE", "state": "optimized geometry", "formation_enthalpy_0k_mev_per_atom": 831, "relative_energy_ev_per_fu": 1.50, "dos_ef_per_ev_atom": 0.292, "m_tot_mub_per_cell": 0.0, "space_group": "I-42d", "lattice_angstrom": [[-3.1561, 4.4323, -0.3352], [-3.7729, -2.8887, -2.6719], [-5.5105, -0.3730, 2.6232]], "species": ["Re", "Re", "B", "B", "B", "B", "Li", "Li"], "fractional_positions": [[0.0000, 0.0000, 0.0000], [0.7500, 0.2500, 0.5000], [0.7223, 0.1250, 0.2500], [0.0277, 0.6250, 0.2500], [0.3750, 0.2777, 0.7500], [0.8750, 0.9723, 0.7500], [0.5000, 0.5000, 0.0000], [0.2500, 0.7500, 0.5000]]}

{"formula": "LiB4Rh8", "functional": "GGA-PBE", "state": "optimized geometry", "formation_enthalpy_0k_mev_per_atom": -187, "dos_ef_per_ev_atom": 0.609, "m_tot_mub_per_cell": 0.0, "space_group": "R-3m", "lattice_angstrom": [[6.0376, -0.0004, -3.2574], [-3.8973, 5.6457, -0.0004], [-1.0241, -0.7065, 5.3261]], "species": ["Li", "B", "B", "B", "B", "Rh", "Rh", "Rh", "Rh", "Rh", "Rh", "Rh", "Rh"], "fractional_positions": [[0.0000, 0.5000, 0.5000], [0.0000, 0.0000, 0.0000], [0.0000, 0.5000, 0.0000], [0.5000, 0.5000, 0.0000], [0.5000, 0.0000, 0.0000], [0.4561, 0.7281, 0.1842], [0.5439, 0.2719, 0.8158], [0.4840, 0.2420, 0.2738], [0.9682, 0.2102, 0.7262], [0.5160, 0.7580, 0.7262], [0.9682, 0.7580, 0.7262], [0.0318, 0.2420, 0.2738], [0.0318, 0.7898, 0.2738]]}

{"formula": "LiBRh", "functional": "GGA-PBE", "state": "optimized geometry", "formation_enthalpy_0k_mev_per_atom": -291, "dos_ef_per_ev_atom": 0.479, "m_tot_mub_per_cell": 0.0, "space_group": "C2/m", "lattice_angstrom": [[-0.7389, 2.6286, 1.4322], [-3.2582, -2.1065, 2.1853], [4.6676, -1.7973, 2.3879]], "species": ["Li", "Li", "B", "B", "Rh", "Rh"], "fractional_positions": [[0.8632, 0.6649, 0.7263], [0.1368, 0.3351, 0.2737], [0.2187, 0.9119, 0.4374], [0.7813, 0.0881, 0.5626], [0.5887, 0.7929, 0.1774], [0.4113, 0.2071, 0.8226]]}

{"formula": "Li2BRh", "functional": "GGA-PBE", "state": "optimized geometry", "formation_enthalpy_0k_mev_per_atom": 100, "dos_ef_per_ev_atom": 0.579, "m_tot_mub_per_cell": 0.0, "space_group": "I-42d", "lattice_angstrom": [[-0.6399, 3.0959, -0.1070], [-2.7448, -0.6174, -1.4459], [-5.7172, 0.6797, 7.1032]], "species": ["B", "B", "Rh", "Rh", "Li", "Li", "Li", "Li"], "fractional_positions": [[0.5000, 0.5000, 0.0000], [0.2500, 0.7500, 0.5000], [0.0000, 0.0000, 0.0000], [0.7500, 0.2500, 0.5000], [0.6048, 0.1250, 0.2500], [0.1452, 0.6250, 0.2500], [0.3750, 0.3952, 0.7500], [0.8750, 0.8548, 0.7500]]}

{"formula": "LiBRh", "functional": "GGA-PBE", "state": "optimized geometry", "formation_enthalpy_0k_mev_per_atom": -219, "dos_ef_per_ev_atom": 0.082, "m_tot_mub_per_cell": 0.0, "space_group": "F-43m", "lattice_angstrom": [[-0.6102, 1.9586, -2.9174], [0.7834, -1.3101, -3.2233], [-2.6215, -0.9079, -2.2412]], "species": ["B", "Rh", "Li"], "fractional_positions": [[0.2500, 0.2500, 0.2500], [0.0000, 0.0000, 0.0000], [0.5000, 0.5000, 0.5000]]}

{"formula": "LiB2Rh", "functional": "GGA-PBE", "state": "optimized geometry", "formation_enthalpy_0k_mev_per_atom": -141, "relative_energy_ev_per_fu": 0.00, "dos_ef_per_ev_atom": 0.321, "m_tot_mub_per_cell": 0.0, "space_group": "P2_1/m", "lattice_angstrom": [[-0.5887, 2.9624, -0.3231], [-4.2013, -0.4991, 3.0798], [3.2497, -0.4359, 4.3625]], "species": ["Li", "Li", "B", "B", "B", "B", "Rh", "Rh"], "fractional_positions": [[0.9093, 0.7500, 0.8148], [0.0907, 0.2500, 0.1852], [0.2602, 0.5934, 0.5193], [0.7398, 0.4066, 0.4807], [0.7398, 0.0934, 0.4807], [0.2602, 0.9066, 0.5193], [0.6212, 0.7500, 0.2420], [0.3788, 0.2500, 0.7580]]}

{"formula": "Li6BRh2", "functional": "GGA-PBE", "state": "optimized geometry", "formation_enthalpy_0k_mev_per_atom": -190, "dos_ef_per_ev_atom": 0.370, "m_tot_mub_per_cell": 0.0, "space_group": "C2/m", "lattice_angstrom": [[2.8859, 0.1252, 0.1314], [0.6003, 6.0430, 3.3488], [0.1814, -0.0170, 7.1786]], "species": ["Li", "Li", "Li", "Li", "Li", "Li", "B", "Rh", "Rh"], "fractional_positions": [[0.2125, 0.8489, 0.6405], [0.7875, 0.1511, 0.3595], [0.2966, 0.3043, 0.0000], [0.2125, 0.4894, 0.3595], [0.7875, 0.5106, 0.6405], [0.7034, 0.6957, 0.0000], [0.0000, 0.0000, 0.0000], [0.5000, 0.8806, 0.2387], [0.5000, 0.1194, 0.7613]]}

{"formula": "Li3B2Rh3", "functional": "GGA-PBE", "state": "optimized geometry", "formation_enthalpy_0k_mev_per_atom": -380, "dos_ef_per_ev_atom": 0.506, "m_tot_mub_per_cell": 0.0, "space_group": "P-62m", "lattice_angstrom": [[-1.9623, 1.9979, -0.3841], [-4.2075, -4.1862, -0.2790], [1.4403, 2.4205, 5.2318]], "species": ["Li", "Li", "Li", "B", "B", "Rh", "Rh", "Rh"], "fractional_positions": [[0.0000, 0.7711, 0.7711], [0.0000, 0.2289, 0.0000], [0.0000, 0.0000, 0.2289], [0.0000, 0.3333, 0.6667], [0.0000, 0.6667, 0.3333], [0.5000, 0.4395, 0.4395], [0.5000, 0.5605, 0.0000], [0.5000, 0.0000, 0.5605]]}

{"formula": "Li3BRh", "functional": "GGA-PBE", "state": "optimized geometry", "formation_enthalpy_0k_mev_per_atom": 1129, "relative_energy_ev_per_fu": 2.21, "dos_ef_per_ev_atom": 0.619, "m_tot_mub_per_cell": 0.0, "space_group": "Pm-3m", "lattice_angstrom": [[-1.6095, -0.5439, 4.1731], [0.8672, -4.4149, -0.2410], [4.1181, 0.7171, 1.6818]], "species": ["B", "Rh", "Li", "Li", "Li"], "fractional_positions": [[0.5000, 0.5000, 0.5000], [0.0000, 0.0000, 0.0000], [0.0000, 0.5000, 0.0000], [0.0000, 0.0000, 0.5000], [0.5000, 0.0000, 0.0000]]}

{"formula": "Li2B7Rh12", "functional": "GGA-PBE", "state": "optimized geometry", "formation_enthalpy_0k_mev_per_atom": -261, "dos_ef_per_ev_atom": 0.657, "m_tot_mub_per_cell": 0.0, "space_group": "P-3", "lattice_angstrom": [[3.6644, 0.0000, 0.0000], [0.0000, 7.6420, -4.4121], [0.0000, 0.0000, 8.8242]], "species": ["Li", "Li", "B", "B", "B", "B", "B", "B", "B", "Rh", "Rh", "Rh", "Rh", "Rh", "Rh", "Rh", "Rh", "Rh", "Rh", "Rh", "Rh"], "fractional_positions": [[0.2529, 0.3333, 0.6667], [0.7471, 0.6667, 0.3333], [0.5000, 0.0000, 0.0000], [0.2448, 0.9276, 0.3075], [0.2448, 0.3799, 0.0724], [0.2448, 0.6925, 0.6201], [0.7552, 0.0724, 0.6925], [0.7552, 0.6201, 0.9276], [0.7552, 0.3075, 0.3799], [0.2464, 0.6283, 0.1061], [0.2464, 0.4778, 0.3717], [0.2464, 0.8939, 0.5222], [0.7536, 0.3717, 0.8939], [0.7536, 0.5222, 0.6283], [0.7536, 0.1061, 0.4778], [0.2581, 0.1428, 0.2643], [0.2581, 0.1216, 0.8572], [0.2581, 0.7357, 0.8784], [0.7419, 0.8572, 0.7357], [0.7419, 0.8784, 0.1428], [0.7419, 0.2643, 0.1216]]}

{"formula": "Li3BRh2", "functional": "GGA-PBE", "state": "optimized geometry", "formation_enthalpy_0k_mev_per_atom": -336, "dos_ef_per_ev_atom": 0.222, "m_tot_mub_per_cell": 0.0, "space_group": "Cmmm", "lattice_angstrom": [[-2.2219, 1.8366, 0.5986], [-2.2099, -1.6002, -3.2931], [-1.2567, -3.2084, 5.1791]], "species": ["Li", "Li", "Li", "B", "Rh", "Rh"], "fractional_positions": [[0.0000, 0.6833, 0.3665], [0.0000, 0.3167, 0.6335], [0.5000, 0.5000, 0.0000], [0.0000, 0.0000, 0.0000], [0.5000, 0.8753, 0.7506], [0.5000, 0.1247, 0.2494]]}

{"formula": "Li2BRh3", "functional": "GGA-PBE", "state": "optimized geometry", "formation_enthalpy_0k_mev_per_atom": -324, "dos_ef_per_ev_atom": 0.408, "m_tot_mub_per_cell": 0.0, "space_group": "P4_132", "lattice_angstrom": [[6.7128, 0.0000, 0.0000], [0.0000, 6.7128, 0.0000], [0.0000, 0.0000, 6.7128]], "species": ["Li", "Li", "Li", "Li", "Li", "Li", "Li", "Li", "B", "B", "B", "B", "Rh", "Rh", "Rh", "Rh", "Rh", "Rh", "Rh", "Rh", "Rh", "Rh", "Rh", "Rh"], "fractional_positions": [[0.5671, 0.4329, 0.9329], [0.6829, 0.6829, 0.6829], [0.9329, 0.5671, 0.4329], [0.4329, 0.9329, 0.5671], [0.1829, 0.8171, 0.3171], [0.8171, 0.3171, 0.1829], [0.3171, 0.1829, 0.8171], [0.0671, 0.0671, 0.0671], [0.8750, 0.1250, 0.6250], [0.1250, 0.6250, 0.8750], [0.6250, 0.8750, 0.1250], [0.3750, 0.3750, 0.3750], [0.6250, 0.2932, 0.5432], [0.7068, 0.0432, 0.8750], [0.5432, 0.6250, 0.2932], [0.9568, 0.3750, 0.7932], [0.2932, 0.5432, 0.6250], [0.4568, 0.1250, 0.2068], [0.0432, 0.8750, 0.7068], [0.7932, 0.9568, 0.3750], [0.2068, 0.4568, 0.1250], [0.8750, 0.7068, 0.0432], [0.3750, 0.7932, 0.9568], [0.1250, 0.2068, 0.4568]]}